Entry 1:
# KBi3Au3

KBi3Au3 after structural relaxation (PBE, Alexandria).

Unit cell a=7.940 b=7.940 c=7.940 alpha=90.00 beta=90.00 gamma=90.00
Element x y z (fractional)
Bi: 0.000 0.500 0.250
Bi: 0.750 0.000 0.500
Bi: 0.250 0.000 0.500
Au: 0.000 0.250 0.500
Au: 0.000 0.750 0.500
Bi: 0.500 0.250 0.000
Au: 0.500 0.000 0.250
Au: 0.250 0.500 0.000
Au: 0.500 0.000 0.750
K: 0.500 0.500 0.500
Bi: 0.000 0.500 0.750
Bi: 0.500 0.750 0.000
Au: 0.750 0.500 0.000
K: 0.000 0.000 0.000

Properties
Space group   Pm-3n (223)
Offset from the most stable computed form   5.3 kJ per mole of atoms
Calculated total energy   -3.2986 eV per atom
E_form   -0.074 eV/atom

Entry 2:
# Pm2DyPaS4

Pm2DyPaS4 after structural relaxation (PBE, Alexandria).

Unit cell a=3.941 b=6.878 c=6.873 alpha=109.08 beta=90.00 gamma=90.00
Element x y z (fractional)
S: 0.000 0.252 0.760
Pm: 0.000 0.500 0.500
Pm: 0.500 0.000 0.500
Pa: 0.500 0.500 0.000
Dy: 0.000 0.000 0.000
S: 0.000 0.748 0.240
S: 0.500 0.754 0.761
S: 0.500 0.246 0.239

Properties
Uncorrected formation energy   -1.90 eV per atom
Space group   P2/m (10)
Calculated total energy   -6.9120 eV per atom

Entry 3:
# Pr6Tm12In

Pr6Tm12In after structural relaxation (PBE, Alexandria).

Unit cell a=8.469 b=8.469 c=8.469 alpha=89.32 beta=89.32 gamma=89.32
Element x y z (fractional)
Tm: 0.562 0.225 0.461
Tm: 0.539 0.438 0.775
Tm: 0.461 0.562 0.225
Tm: 0.225 0.461 0.562
Tm: 0.775 0.539 0.438
Pr: 0.691 0.260 0.090
Tm: 0.438 0.775 0.539
Pr: 0.260 0.090 0.691
Pr: 0.910 0.309 0.740
Tm: 0.193 0.356 0.013
Tm: 0.644 0.987 0.807
Pr: 0.740 0.910 0.309
Tm: 0.356 0.013 0.193
Tm: 0.987 0.807 0.644
In: 0.000 0.000 0.000
Pr: 0.309 0.740 0.910
Pr: 0.090 0.691 0.260
Tm: 0.013 0.193 0.356
Tm: 0.807 0.644 0.987

Properties
Space group   R-3 (148)
Calculated total energy   -4.4052 eV per atom
E_form   0.072 eV/atom

Entry 4:
# AcMgBO4

AcMgBO4 after structural relaxation (PBE, Alexandria).

Unit cell a=5.918 b=6.316 c=6.316 alpha=74.77 beta=62.06 gamma=62.06
Element x y z (fractional)
O: 0.299 0.230 0.730
O: 0.296 0.615 0.792
B: 0.612 0.638 0.138
O: 0.704 0.708 0.885
Mg: 0.000 0.000 0.500
Mg: 0.500 0.000 0.500
O: 0.701 0.770 0.270
O: 0.296 0.292 0.115
O: 0.704 0.385 0.208
Ac: 0.000 0.500 0.500
O: 0.741 0.230 0.730
Ac: 0.000 0.000 0.000
O: 0.259 0.770 0.270
B: 0.388 0.362 0.862

Properties
Uncorrected formation energy   -2.16 eV per atom
Space group   Imma (74)
Calculated total energy   -6.7616 eV per atom